La2AgAs4Pd3 | Alexandria | GGA-PBE | optimized geometry; crystal system = tetragonal; size of the total moment = 0.00 μB/f.u.; E_tot = -0.4069 Ry per atom; theoretical density = 8.14 Mg/m³
1.0
-1.865 3.274 2.446
1.405 -2.012 3.763
8.672 5.259 -0.426
As Pd La Ag
4 3 2 1
Direct
0.000 0.000 0.000
0.500 0.000 0.639
0.500 0.500 0.000
0.000 0.500 0.361
0.000 0.000 0.500
0.500 0.000 0.884
0.000 0.500 0.116
0.500 0.000 0.243
0.000 0.500 0.757
0.500 0.500 0.500